# 1
The following is a PBE-GGA calculation of a relaxed La6CoHPb2 crystal, from Alexandria.

a = 7.427 Å, b = 7.427 Å, c = 7.427 Å
α = 119.57°, β = 119.57°, γ = 90.75°
Element x y z (fractional)
1 La 0.245 0.245 0.491
2 La 0.245 0.755 0.000
3 La 0.254 0.254 0.000
4 La 0.746 0.746 0.000
5 La 0.755 0.245 0.000
6 La 0.755 0.755 0.509
7 Co 0.500 0.500 0.000
8 H 0.000 0.000 0.000
9 Pb 0.250 0.750 0.500
10 Pb 0.750 0.250 0.500

Results
space group: C2/m (12)
spin magnetization: 0.00 μB per atom
final energy: -51.47 eV for the cell shown

---

# 2
The following is a PBE-GGA calculation of a relaxed Cd2RhAu crystal, from Alexandria.

a = 3.129 Å, b = 3.129 Å, c = 7.420 Å
α = 90.00°, β = 90.00°, γ = 90.00°
Element x y z (fractional)
1 Cd 0.000 0.000 0.232
2 Cd 0.000 0.000 0.768
3 Rh 0.500 0.500 0.000
4 Au 0.500 0.500 0.500

Results
space group: P4/mmm (123)
spin magnetization: 0.00 μB per atom
final energy: -13.00 eV for the cell shown
calculated formation energy: -0.1363 eV per atom

---

# 3
The following is a PBE-GGA calculation of a relaxed Ru3CBr crystal, from Alexandria.

a = 4.127 Å, b = 4.127 Å, c = 4.127 Å
α = 90.00°, β = 90.00°, γ = 90.00°
Element x y z (fractional)
1 Ru 0.000 0.000 0.500
2 Ru 0.000 0.500 0.000
3 Ru 0.500 0.000 0.000
4 C 0.000 0.000 0.000
5 Br 0.500 0.500 0.500

Results
space group: Pm-3m (221)
spin magnetization: 0.00 μB per atom
final energy: -34.30 eV for the cell shown
energy relative to the elements, uncorrected: 885 meV per atom